Entry 1
## Tb3Pm6In (GGA-PBE)

Data for an optimized crystal structure of Tb3Pm6In.

a b c (Å): 10.6954 11.9348 5.2515
angles (deg): 90.00 90.00 90.00
Last column: nearest neighbours and their distance in Å.
Space group Pnnm (No. 58)
One atom of each set of equivalent atoms:
Tb (0.0000, 0.0000, 0.0000) (multiplicity 2)  2 Pm 3.11
Tb (0.1136, 0.2091, 0.5000) (multiplicity 4)  4 Pm 3.33-3.73
Pm (0.0783, 0.7491, 0.0000) (multiplicity 4)  1 In 3.09, 4 Tb 3.11-3.37, 2 Pm 3.43
Pm (0.1757, 0.5751, 0.5000) (multiplicity 4)  2 In 3.35, 5 Pm 3.51-3.71, 1 Tb 3.58
Pm (0.2194, 0.8834, 0.5000) (multiplicity 4)  1 In 3.31, 4 Pm 3.43-3.66
In (0.0000, 0.5000, 0.0000) (multiplicity 2)  8 Pm 3.09-3.35

Magnetic moment   0.000 μB/f.u.



Entry 2
## Tb3Pm6In (GGA-PBE)

Data for an optimized crystal structure of Tb3Pm6In.

a b c (Å): 12.9562 3.5454 14.4812
angles (deg): 90.00 100.68 90.00
Last column: nearest neighbours and their distance in Å.
Space group P2_1/m (No. 11)
One atom of each set of equivalent atoms:
Tb (0.0719, 0.2500, 0.1069) (multiplicity 2)  4 Pm 3.31-3.49, 2 In 3.44, 2 Tb 3.55
Tb (0.3700, 0.7500, 0.4991) (multiplicity 2)  5 Pm 3.26-3.58, 2 Tb 3.55
Tb (0.4203, 0.2500, 0.9028) (multiplicity 2)  6 Pm 3.34-3.61, 4 Tb 3.55-3.63
Pm (0.1108, 0.2500, 0.4635) (multiplicity 2)  2 In 3.51, 8 Pm 3.55-3.92, 2 Tb 3.75
Pm (0.1874, 0.7500, 0.9234) (multiplicity 2)  3 Tb 3.31-3.56, 5 Pm 3.51-3.58, 2 In 3.62
Pm (0.2312, 0.7500, 0.2865) (multiplicity 2)  3 Tb 3.26-3.49, 1 In 3.37, 5 Pm 3.55-3.57
Pm (0.2464, 0.7500, 0.6961) (multiplicity 2)  2 In 3.40, 5 Pm 3.51-3.63, 1 Tb 3.52
Pm (0.3412, 0.2500, 0.1154) (multiplicity 2)  4 Tb 3.42-3.61, 8 Pm 3.55-3.67
Pm (0.4896, 0.2500, 0.6915) (multiplicity 2)  4 Tb 3.34-3.58, 7 Pm 3.55-3.67
In (0.0317, 0.2500, 0.7279) (multiplicity 2)  7 Pm 3.37-3.62, 2 Tb 3.44, 2 In 3.55

Magnetic moment   0.000 μB/f.u.



Here is how they stack up, most stable first: entry 2, entry 1.



Entry 1
## TbPmTlIn (GGA-PBE)

Data for an optimized crystal structure of TbPmTlIn.

a b c (Å): 4.8326 4.8326 9.6080
angles (deg): 90.00 90.00 90.00
Last column: nearest neighbours and their distance in Å.
Space group I-4m2 (No. 119)
One atom of each set of equivalent atoms:
Tb (0.0000, 0.0000, 0.0000) (multiplicity 2)  4 Tl 3.41, 4 In 3.41, 4 Pm 3.42
Pm (0.0000, 0.0000, 0.5000) (multiplicity 2)  4 Tl 3.41, 4 In 3.41, 4 Tb 3.42
Tl (0.0000, 0.5000, 0.2500) (multiplicity 2)  4 Tb 3.41, 4 Pm 3.41, 4 In 3.42
In (0.0000, 0.5000, 0.7500) (multiplicity 2)  4 Tb 3.41, 4 Pm 3.41, 4 Tl 3.42

Magnetic moment   0.005 μB/f.u.



Entry 2
## TbPmTlIn (GGA-PBE)

Data for an optimized crystal structure of TbPmTlIn.

a b c (Å): 7.6590 7.6590 7.6590
angles (deg): 90.00 90.00 90.00
Last column: nearest neighbours and their distance in Å.
Space group F-43m (No. 216)
One atom of each set of equivalent atoms:
Tb (0.0000, 0.0000, 0.0000) (multiplicity 4)  4 In 3.32, 4 Tl 3.32
Pm (0.0000, 0.0000, 0.5000) (multiplicity 4)  4 Tl 3.32, 4 In 3.32
Tl (0.2500, 0.2500, 0.2500) (multiplicity 4)  4 Tb 3.32, 4 Pm 3.32
In (0.2500, 0.2500, 0.7500) (multiplicity 4)  4 Tb 3.32, 4 Pm 3.32

Magnetic moment   0.000 μB/f.u.



Here is how they stack up, most stable first: entry 2, entry 1.



Entry 1
## TbPmTmIn (GGA-PBE)

Data for an optimized crystal structure of TbPmTmIn.

a b c (Å): 4.8416 4.8696 4.8955
angles (deg): 90.00 90.00 90.00
Last column: nearest neighbours and their distance in Å.
Space group Pmmm (No. 47)
One atom of each set of equivalent atoms:
Tb (0.0000, 0.0000, 0.0000) (multiplicity 1)  4 Pm 3.43, 4 In 3.44, 4 Tm 3.45
Pm (0.5000, 0.5000, 0.0000) (multiplicity 1)  4 Tb 3.43, 4 Tm 3.44, 4 In 3.45
Tm (0.0000, 0.5000, 0.5000) (multiplicity 1)  4 In 3.43, 4 Pm 3.44, 4 Tb 3.45
In (0.5000, 0.0000, 0.5000) (multiplicity 1)  4 Tm 3.43, 4 Tb 3.44, 4 Pm 3.45

Magnetic moment   0.009 μB/f.u.



Entry 2
## TbPmTmIn (GGA-PBE)

Data for an optimized crystal structure of TbPmTmIn.

a b c (Å): 7.7478 7.7478 7.7478
angles (deg): 90.00 90.00 90.00
Last column: nearest neighbours and their distance in Å.
Space group F-43m (No. 216)
One atom of each set of equivalent atoms:
Tb (0.0000, 0.0000, 0.0000) (multiplicity 4)  4 Tm 3.35, 4 In 3.35
Pm (0.0000, 0.0000, 0.5000) (multiplicity 4)  4 In 3.35, 4 Tm 3.35
Tm (0.2500, 0.2500, 0.2500) (multiplicity 4)  4 Pm 3.35, 4 Tb 3.35
In (0.2500, 0.2500, 0.7500) (multiplicity 4)  4 Tb 3.35, 4 Pm 3.35

Magnetic moment   0.700 μB/f.u.



Here is how they stack up, most stable first: entry 1, entry 2.



Entry 1
## TbPmYIn (GGA-PBE)

Data for an optimized crystal structure of TbPmYIn.

a b c (Å): 4.8637 4.8812 4.9438
angles (deg): 90.00 90.00 90.00
Last column: nearest neighbours and their distance in Å.
Space group Pmmm (No. 47)
One atom of each set of equivalent atoms:
Tb (0.0000, 0.0000, 0.0000) (multiplicity 1)  4 Pm 3.45, 4 In 3.47, 4 Y 3.47
Pm (0.5000, 0.5000, 0.0000) (multiplicity 1)  4 Tb 3.45, 4 Y 3.47, 4 In 3.47
Y (0.0000, 0.5000, 0.5000) (multiplicity 1)  4 In 3.45, 4 Pm 3.47, 4 Tb 3.47
In (0.5000, 0.0000, 0.5000) (multiplicity 1)  4 Y 3.45, 4 Tb 3.47, 4 Pm 3.47

Magnetic moment   0.588 μB/f.u.



Entry 2
## TbPmYIn (GGA-PBE)

Data for an optimized crystal structure of TbPmYIn.

a b c (Å): 7.7784 7.7784 7.7784
angles (deg): 90.00 90.00 90.00
Last column: nearest neighbours and their distance in Å.
Space group F-43m (No. 216)
One atom of each set of equivalent atoms:
Tb (0.0000, 0.0000, 0.0000) (multiplicity 4)  4 In 3.37, 4 Pm 3.37
Pm (0.2500, 0.2500, 0.7500) (multiplicity 4)  4 Tb 3.37, 4 Y 3.37
Y (0.0000, 0.0000, 0.5000) (multiplicity 4)  4 In 3.37, 4 Pm 3.37
In (0.2500, 0.2500, 0.2500) (multiplicity 4)  4 Tb 3.37, 4 Y 3.37

Magnetic moment   1.509 μB/f.u.



Here is how they stack up, most stable first: entry 1, entry 2.



Entry 1
## Pm2InTc (GGA-PBE)

Data for an optimized crystal structure of Pm2InTc.

a b c (Å): 3.6288 3.6288 7.6904
angles (deg): 90.00 90.00 90.00
Last column: nearest neighbours and their distance in Å.
Space group P4/mmm (No. 123)
One atom of each set of equivalent atoms:
Pm (0.0000, 0.0000, 0.2151) (multiplicity 2)  4 Tc 3.05, 1 Pm 3.31, 4 In 3.37
In (0.5000, 0.5000, 0.5000) (multiplicity 1)  8 Pm 3.37, 4 In 3.63
Tc (0.5000, 0.5000, 0.0000) (multiplicity 1)  8 Pm 3.05

Magnetic moment   0.000 μB/f.u.



Entry 2
## Pm2InTc (GGA-PBE)

Data for an optimized crystal structure of Pm2InTc.

a b c (Å): 7.3613 7.3613 7.3613
angles (deg): 90.00 90.00 90.00
Last column: nearest neighbours and their distance in Å.
Space group Fm-3m (No. 225)
One atom of each set of equivalent atoms:
Pm (0.2500, 0.2500, 0.2500) (multiplicity 8)  4 In 3.19, 4 Tc 3.19
In (0.0000, 0.0000, 0.0000) (multiplicity 4)  8 Pm 3.19
Tc (0.0000, 0.0000, 0.5000) (multiplicity 4)  8 Pm 3.19

Magnetic moment   0.000 μB/f.u.



Here is how they stack up, most stable first: entry 1, entry 2.